[1]
Compound: CaMnBe2Fe
Source: the Alexandria database
Functional: PBE
Structure: optimized geometry

Unit cell a=4.449 b=4.449 c=4.195 alpha=90.00 beta=90.00 gamma=90.00
Space group P4/mmm (No. 123)
Unique sites:
Ca: 0.000 0.000 0.000 (multiplicity 1)
Mn: 0.500 0.500 0.500 (multiplicity 1)
Be: 0.000 0.500 0.000 (multiplicity 2)
Fe: 0.000 0.000 0.500 (multiplicity 1)

Properties
ΔE_f (meV/atom): 2480
Theoretical density (g/cm3): 3.38
V (Å³/f.u.): 83.0
Total magnetization (μB/f.u.): 1.80
Uncorrected energy (eV/f.u.): -14.687


[2]
Compound: Rb2CaBeFe
Source: the Alexandria database
Functional: PBE
Structure: optimized geometry

Unit cell a=7.298 b=7.298 c=5.126 alpha=90.00 beta=90.00 gamma=90.00
Space group P4/mmm (No. 123)
Unique sites:
Rb: 0.000 0.500 0.000 (multiplicity 2)
Ca: 0.000 0.000 0.000 (multiplicity 1)
Be: 0.500 0.500 0.500 (multiplicity 1)
Fe: 0.000 0.000 0.500 (multiplicity 1)

Properties
ΔE_f (meV/atom): 1482
Theoretical density (g/cm3): 1.68
V (Å³/f.u.): 273.0
Total magnetization (μB/f.u.): 2.42
Uncorrected energy (eV/f.u.): -8.716


[3]
Compound: CaBeFe2Sn
Source: the Alexandria database
Functional: PBE
Structure: optimized geometry

Unit cell a=4.243 b=4.243 c=4.722 alpha=90.00 beta=90.00 gamma=90.00
Space group P4/mmm (No. 123)
Unique sites:
Ca: 0.000 0.000 0.000 (multiplicity 1)
Be: 0.000 0.000 0.500 (multiplicity 1)
Fe: 0.000 0.500 0.500 (multiplicity 2)
Sn: 0.500 0.500 0.000 (multiplicity 1)

Properties
ΔE_f (meV/atom): 514
Theoretical density (g/cm3): 5.46
V (Å³/f.u.): 85.0
Total magnetization (μB/f.u.): 4.34
Uncorrected energy (eV/f.u.): -24.085


[4]
Compound: CaZrBe2Fe
Source: the Alexandria database
Functional: PBE
Structure: optimized geometry

Unit cell a=4.308 b=4.308 c=4.477 alpha=90.00 beta=90.00 gamma=90.00
Space group P4/mmm (No. 123)
Unique sites:
Ca: 0.000 0.000 0.000 (multiplicity 1)
Zr: 0.500 0.500 0.000 (multiplicity 1)
Be: 0.000 0.500 0.500 (multiplicity 2)
Fe: 0.000 0.000 0.500 (multiplicity 1)

Properties
ΔE_f (meV/atom): 769
Theoretical density (g/cm3): 4.10
V (Å³/f.u.): 83.1
Total magnetization (μB/f.u.): 0.00
Uncorrected energy (eV/f.u.): -22.621


[5]
Compound: CaBe3Ga
Source: the Alexandria database
Functional: PBE
Structure: optimized geometry

Unit cell a=5.260 b=5.260 c=5.260 alpha=90.00 beta=90.00 gamma=90.00
Space group Pm-3m (No. 221)
Unique sites:
Ca: 0.000 0.000 0.000 (multiplicity 1)
Be: 0.000 0.000 0.500 (multiplicity 3)
Ga: 0.500 0.500 0.500 (multiplicity 1)

Properties
ΔE_f (meV/atom): 1930
Theoretical density (g/cm3): 1.56
V (Å³/f.u.): 145.6
Total magnetization (μB/f.u.): 0.00
Uncorrected energy (eV/f.u.): -6.556


[6]
Compound: CaBeGa2
Source: the Alexandria database
Functional: PBE
Structure: optimized geometry

Unit cell a=4.776 b=4.776 c=15.691 alpha=90.00 beta=90.00 gamma=90.00
Space group I-42d (No. 122)
Unique sites:
Ca: 0.000 0.000 0.000 (multiplicity 4)
Be: 0.000 0.000 0.500 (multiplicity 4)
Ga: 0.036 0.250 0.625 (multiplicity 8)

Properties
ΔE_f (meV/atom): -18
Theoretical density (g/cm3): 3.50
V (Å³/f.u.): 89.5
Total magnetization (μB/f.u.): 0.00
Uncorrected energy (eV/f.u.): -11.854


[7]
Compound: CaBe3Ga
Source: the Alexandria database
Functional: PBE
Structure: optimized geometry

Unit cell a=4.330 b=4.330 c=4.330 alpha=90.00 beta=90.00 gamma=90.00
Space group Pm-3m (No. 221)
Unique sites:
Ca: 0.000 0.000 0.000 (multiplicity 1)
Be: 0.000 0.500 0.500 (multiplicity 3)
Ga: 0.500 0.500 0.500 (multiplicity 1)

Properties
ΔE_f (meV/atom): 495
Theoretical density (g/cm3): 2.80
V (Å³/f.u.): 81.2
Total magnetization (μB/f.u.): 0.00
Uncorrected energy (eV/f.u.): -13.730


[8]
Compound: CaBe2GaGe
Source: the Alexandria database
Functional: PBE
Structure: optimized geometry

Unit cell a=4.304 b=4.304 c=5.367 alpha=90.00 beta=90.00 gamma=90.00
Space group P4/mmm (No. 123)
Unique sites:
Ca: 0.000 0.000 0.000 (multiplicity 1)
Be: 0.000 0.500 0.500 (multiplicity 2)
Ga: 0.500 0.500 0.000 (multiplicity 1)
Ge: 0.500 0.500 0.500 (multiplicity 1)

Properties
ΔE_f (meV/atom): 435
Theoretical density (g/cm3): 3.35
V (Å³/f.u.): 99.4
Total magnetization (μB/f.u.): 0.00
Uncorrected energy (eV/f.u.): -14.922